Entry 1:
A plane-wave DFT calculation with PBE-GGA was carried out for a relaxed Ho2Er2Mg crystal.

Values from the calculation:
**ΔE_f**: 211 meV/atom

CIF file:
```
data_Ho2Er2Mg
_cell_length_a 5.065
_cell_length_b 5.065
_cell_length_c 24.955
_cell_angle_alpha 90.00
_cell_angle_beta 90.00
_cell_angle_gamma 90.00
_space_group_name_H-M_alt 'I 41/a m d'
_space_group_IT_number 141
loop_
_space_group_symop_operation_xyz
'x,y,z'
'-x,-y,-z'
'-y+1/4,x+3/4,z+1/4'
'y+1/4,-x+3/4,-z+1/4'
'-x+1/2,-y,z+1/2'
'x+1/2,y,-z+1/2'
'y+1/4,-x+1/4,z+3/4'
'-y+1/4,x+1/4,-z+3/4'
'x,-y,-z'
'-x,y,z'
'-y+1/4,-x+1/4,-z+3/4'
'y+1/4,x+1/4,z+3/4'
'-x+1/2,y,-z+1/2'
'x+1/2,-y,z+1/2'
'y+1/4,x+3/4,-z+1/4'
'-y+1/4,-x+3/4,z+1/4'
'x+1/2,y+1/2,z+1/2'
'-x+1/2,-y+1/2,-z+1/2'
'-y+3/4,x+1/4,z+3/4'
'y+3/4,-x+1/4,-z+3/4'
'-x,-y+1/2,z'
'x,y+1/2,-z'
'y+3/4,-x+3/4,z+1/4'
'-y+3/4,x+3/4,-z+1/4'
'x+1/2,-y+1/2,-z+1/2'
'-x+1/2,y+1/2,z+1/2'
'-y+3/4,-x+3/4,-z+1/4'
'y+3/4,x+3/4,z+1/4'
'-x,y+1/2,-z'
'x,-y+1/2,z'
'y+3/4,x+1/4,-z+3/4'
'-y+3/4,-x+1/4,z+3/4'
loop_
_atom_site_label
_atom_site_type_symbol
_atom_site_fract_x
_atom_site_fract_y
_atom_site_fract_z
Ho1 Ho 0.000 0.250 0.050
Er1 Er 0.000 0.250 0.205
Mg1 Mg 0.000 0.250 0.375
```



Entry 2:
A plane-wave DFT calculation with PBE-GGA was carried out for a relaxed HfTiNiOs crystal.

Values from the calculation:
**ΔE_f**: -519 meV/atom

CIF file:
```
data_HfTiNiOs
_cell_length_a 6.301
_cell_length_b 6.301
_cell_length_c 6.301
_cell_angle_alpha 90.00
_cell_angle_beta 90.00
_cell_angle_gamma 90.00
_space_group_name_H-M_alt 'F -4 3 m'
_space_group_IT_number 216
_space_group_name_Hall 'F -4 2 3'
loop_
_atom_site_label
_atom_site_type_symbol
_atom_site_fract_x
_atom_site_fract_y
_atom_site_fract_z
Hf1 Hf 0.000 0.000 0.000
Ti1 Ti 0.000 0.000 0.500
Ni1 Ni 0.250 0.250 0.750
Os1 Os 0.250 0.250 0.250
```



Entry 3:
A plane-wave DFT calculation with PBE-GGA was carried out for a relaxed Al4FeBr crystal.

Values from the calculation:
**Formation energy from raw total energies**: 241 kJ/mol of formula units

CIF file:
```
data_Al4FeBr
_cell_length_a 7.628
_cell_length_b 7.628
_cell_length_c 7.628
_cell_angle_alpha 90.00
_cell_angle_beta 90.00
_cell_angle_gamma 90.00
_space_group_name_H-M_alt 'F -4 3 m'
_space_group_IT_number 216
_space_group_name_Hall 'F -4 2 3'
loop_
_atom_site_label
_atom_site_type_symbol
_atom_site_fract_x
_atom_site_fract_y
_atom_site_fract_z
Al1 Al 0.124 0.124 0.376
Fe1 Fe 0.250 0.250 0.750
Br1 Br 0.000 0.000 0.000
```



DOS(E_F), record by record: 1.72; 1.09; 0.55 states/eV per atom